Record 1
CrTcBr2 (PBE, optimized geometry); raw total energy = -5.1111 eV/atom; uncorrected formation energy = 0.7227 eV/atom; space-group type = R-3m (166); energy above the most stable polymorph in this dataset = 660 meV/atom; crystal system = trigonal
1.0
8.178 -0.231 -0.137
7.500 3.267 -0.137
7.500 1.452 2.930
Tc Cr Br
1 1 2
direct
0.750 0.750 0.750
0.250 0.250 0.250
0.504 0.504 0.504
0.996 0.996 0.996

=====

Record 2
PdRu3Au (PBE, optimized geometry); raw total energy = -5.2766 eV/atom; space-group type = Pm-3m (221); energy above the most stable polymorph in this dataset = 0 meV/atom; crystal system = cubic
1.0
4.733 0.000 0.000
0.000 4.733 0.000
0.000 0.000 4.733
Pd Ru Au
1 3 1
direct
0.000 0.000 0.000
0.000 0.000 0.500
0.500 0.000 0.000
0.000 0.500 0.000
0.500 0.500 0.500

=====

Record 3
Na2CrGaC (PBE, optimized geometry); raw total energy = -3.8137 eV/atom; space-group type = P4/mmm (123); crystal system = tetragonal
1.0
-3.816 -0.612 4.456
-1.720 -2.517 -1.819
3.472 -4.115 2.409
Na Cr C Ga
2 1 1 1
direct
0.500 0.000 0.000
0.000 0.000 0.500
0.500 0.500 0.500
0.000 0.500 0.000
0.000 0.000 0.000

=====

Number 2 is which compound?
PdRu3Au

=====

What is the raw total energy in the third record?
-3.8137 eV/atom

=====

Which of these has the lowest raw total energy?
PdRu3Au

=====

Repeat the third record exactly.
Na2CrGaC (PBE, optimized geometry); raw total energy = -3.8137 eV/atom; space-group type = P4/mmm (123); crystal system = tetragonal
1.0
-3.816 -0.612 4.456
-1.720 -2.517 -1.819
3.472 -4.115 2.409
Na Cr C Ga
2 1 1 1
direct
0.500 0.000 0.000
0.000 0.000 0.500
0.500 0.500 0.500
0.000 0.500 0.000
0.000 0.000 0.000